{"formula": "ZrAs2Pt", "functional": "GGA-PBE", "state": "relaxed", "cell": [[-2.570, -1.175, 2.322], [2.577, -1.602, 2.041], [0.549, 4.661, 2.966]], "species": ["As", "As", "Zr", "Pt"], "fractional_positions": [[0.000, 0.000, 0.948], [0.500, 0.500, 0.310], [0.500, 0.500, 0.793], [0.000, 0.000, 0.449]], "magnetic_moment_mub_per_cell": 0.00, "spacegroup": "P4mm", "formation_energy_mev_per_atom": -681}



{"formula": "TlHg2S", "functional": "GGA-PBE", "state": "relaxed", "cell": [[8.072, 0.000, 0.000], [0.000, 8.072, 0.000], [4.036, 4.036, 3.182]], "species": ["S", "S", "Tl", "Tl", "Hg", "Hg", "Hg", "Hg"], "fractional_positions": [[0.500, 0.500, 0.000], [0.250, 0.750, 0.500], [0.000, 0.000, 0.000], [0.750, 0.250, 0.500], [0.589, 0.125, 0.250], [0.161, 0.625, 0.250], [0.375, 0.411, 0.750], [0.875, 0.839, 0.750]], "magnetic_moment_mub_per_cell": 0.00, "raw_formation_energy_mev_per_atom": -4, "spacegroup": "I-42d"}



What did the second record say?
{"formula": "TlHg2S", "functional": "GGA-PBE", "state": "relaxed", "cell": [[8.072, 0.000, 0.000], [0.000, 8.072, 0.000], [4.036, 4.036, 3.182]], "species": ["S", "S", "Tl", "Tl", "Hg", "Hg", "Hg", "Hg"], "fractional_positions": [[0.500, 0.500, 0.000], [0.250, 0.750, 0.500], [0.000, 0.000, 0.000], [0.750, 0.250, 0.500], [0.589, 0.125, 0.250], [0.161, 0.625, 0.250], [0.375, 0.411, 0.750], [0.875, 0.839, 0.750]], "magnetic_moment_mub_per_cell": 0.00, "raw_formation_energy_mev_per_atom": -4, "spacegroup": "I-42d"}